# NdY2Mg3AgHg2

A relaxed structure of NdY2Mg3AgHg2 (PBE-GGA, OQMD).

Cell: 4.199 7.853 7.853 Å, 120.32 90.00 90.00°
Atoms (fractional coordinates):
Mg 0.500 0.244 0.997
Mg 0.500 0.757 0.757
Mg 0.500 0.997 0.244
Hg 0.500 0.671 0.331
Hg 0.500 0.331 0.671
Ag 0.000 0.996 0.996
Nd 0.000 0.410 0.410
Y 0.000 0.592 0.000
Y 0.000 0.000 0.592

energy	-3.241	eV/atom
total magnetic moment	0.028	μB/f.u.